The following is a PBE-GGA calculation of MgBiPCl2 after structural relaxation, from the Alexandria database.

Output
ΔE_f (raw) ... -0.17 kcal/mol of atoms

Cell and atoms, written as CIF:
```
data_MgBiPCl2
_cell_length_a 5.328
_cell_length_b 5.328
_cell_length_c 5.515
_cell_angle_alpha 90.00
_cell_angle_beta 90.00
_cell_angle_gamma 90.00
_symmetry_space_group_name_H-M 'P 4/m m m'
_symmetry_Int_Tables_number 123
_symmetry_space_group_name_Hall '-P 4 2'
loop_
_atom_site_label
_atom_site_type_symbol
_atom_site_fract_x
_atom_site_fract_y
_atom_site_fract_z
_atom_site_occupancy
Mg1 Mg 0.000 0.000 0.000 1
Bi1 Bi 0.500 0.500 0.500 1
P1 P 0.500 0.500 0.000 1
Cl1 Cl 0.000 0.500 0.500 1
```

The following is a PBE-GGA calculation of MgBiPb2Cl after structural relaxation, from the Alexandria database.

Output
ΔE_f (raw) ... 7.71 kcal/mol of atoms

Cell and atoms, written as CIF:
```
data_MgBiPb2Cl
_cell_length_a 5.558
_cell_length_b 5.558
_cell_length_c 5.573
_cell_angle_alpha 90.00
_cell_angle_beta 90.00
_cell_angle_gamma 90.00
_symmetry_space_group_name_H-M 'P 4/m m m'
_symmetry_Int_Tables_number 123
_symmetry_space_group_name_Hall '-P 4 2'
loop_
_atom_site_label
_atom_site_type_symbol
_atom_site_fract_x
_atom_site_fract_y
_atom_site_fract_z
_atom_site_occupancy
Mg1 Mg 0.000 0.000 0.000 1
Bi1 Bi 0.500 0.500 0.000 1
Pb1 Pb 0.000 0.500 0.500 1
Cl1 Cl 0.500 0.500 0.500 1
```

Number 1: VASP energy -2.9230 eV per atom. Number 2: VASP energy -2.6135 eV per atom.